CaScZn2 | PBE | relaxed

Results
Formation energy (eV per atom): -0.146
E (eV/cell): -11.5
Space group: Imm2 (44)
Total moment (μB per cell): 0.00

abc: 5.9656 5.9656 5.9656
angles: 147.62 130.20 60.66
Last column: nearest neighbours and their distance in Å.
Atoms (fractional coordinates):
1 Ca 0.0000 0.0000 0.0000  6 Zn 3.04-3.20, 2 Sc 3.26, 2 Ca 3.33
2 Sc 0.2979 0.7979 0.5000  6 Zn 2.98-3.08, 2 Ca 3.26, 2 Sc 3.33
3 Zn 0.5375 0.5375 0.0000  2 Zn 2.62
4 Zn 0.7344 0.2344 0.5000  2 Zn 2.62

---

WCSN2 | PBE | relaxed

Results
E (eV/cell): -34.8
Space group: P4/mmm (123)
Energy above the most stable polymorph in this dataset (eV per atom): 0.000
Total moment (μB per cell): 0.45
Formation energy (no corrections) (kJ per mole of atoms): 158

abc: 3.8456 3.8456 5.0510
angles: 90.00 90.00 90.00
Last column: nearest neighbours and their distance in Å.
Atoms (fractional coordinates):
1 W 0.0000 0.0000 0.0000  4 N 1.92
2 C 0.5000 0.5000 0.5000  4 S 2.72
3 S 0.0000 0.0000 0.5000  2 W 2.53, 4 C 2.72
4 N 0.0000 0.5000 0.0000  2 W 1.92
5 N 0.5000 0.0000 0.0000  2 W 1.92

---

AgSbTe2O | PBE | relaxed

Results
E (eV/cell): -12.6
Space group: P4/mmm (123)
Energy above the most stable polymorph in this dataset (eV per atom): 0.982
Total moment (μB per cell): 0.00
Formation energy (no corrections) (kJ per mole of atoms): 107

abc: 5.3371 5.3371 5.4090
angles: 90.00 90.00 90.00
Last column: nearest neighbours and their distance in Å.
Atoms (fractional coordinates):
1 Ag 0.0000 0.0000 0.0000  4 Te 2.67, 2 Sb 2.70
2 Sb 0.0000 0.0000 0.5000  2 Ag 2.70
3 Te 0.0000 0.5000 0.0000  2 Ag 2.67
4 Te 0.5000 0.0000 0.0000  2 Ag 2.67
5 O 0.5000 0.5000 0.5000  4 Sb 3.77, 8 Te 3.80

---

Rb2HSBr6 | PBE | relaxed

Results
E (eV/cell): -24.6
Space group: I4/mmm (139)
Total moment (μB per cell): 0.00

abc: 7.6211 7.6211 7.6211
angles: 124.49 124.49 82.39
Last column: nearest neighbours and their distance in Å.
Atoms (fractional coordinates):
1 Rb 0.2500 0.7500 0.5000  12 Br 3.57-3.81
2 Rb 0.7500 0.2500 0.5000  12 Br 3.57-3.81
3 H 0.0000 0.0000 0.0000  4 Br 2.39
4 S 0.5000 0.5000 0.0000  6 Br 2.51-2.63
5 Br 0.2382 0.2382 0.4764  1 H 2.39, 1 S 2.63
6 Br 0.2382 0.7618 0.0000  1 H 2.39, 1 S 2.63
7 Br 0.2815 0.2815 0.0000  1 S 2.51
8 Br 0.7185 0.7185 0.0000  1 S 2.51
9 Br 0.7618 0.2382 0.0000  1 H 2.39, 1 S 2.63
10 Br 0.7618 0.7618 0.5236  1 H 2.39, 1 S 2.63

---

AgTeN2O | PBE | relaxed

Results
E (eV/cell): -22.2
Space group: P4/mmm (123)
Total moment (μB per cell): 0.79
Formation energy (no corrections) (kJ per mole of atoms): 104

abc: 4.0369 4.0369 3.9803
angles: 90.00 90.00 90.00
Last column: nearest neighbours and their distance in Å.
Atoms (fractional coordinates):
1 Ag 0.0000 0.0000 0.0000  8 N 2.83, 4 O 2.85
2 Te 0.5000 0.5000 0.5000  2 O 1.99, 4 N 2.02
3 N 0.0000 0.5000 0.5000  2 Te 2.02
4 N 0.5000 0.0000 0.5000  2 Te 2.02
5 O 0.5000 0.5000 0.0000  2 Te 1.99

---

ReAs2Ru | PBE | relaxed

Results
Formation energy (eV per atom): 0.134
E (eV/cell): -30.5
Space group: P4/mmm (123)
Energy above the most stable polymorph in this dataset (eV per atom): 0.110
Total moment (μB per cell): 0.00

abc: 4.3480 4.3480 3.0912
angles: 90.00 90.00 90.00
Last column: nearest neighbours and their distance in Å.
Atoms (fractional coordinates):
1 Re 0.0000 0.0000 0.0000  8 As 2.67
2 As 0.0000 0.5000 0.5000  4 Re 2.67, 4 Ru 2.67
3 As 0.5000 0.0000 0.5000  4 Re 2.67, 4 Ru 2.67
4 Ru 0.5000 0.5000 0.0000  8 As 2.67

---

TaNiB3 | PBE | relaxed

Results
Formation energy (eV per atom): 0.853
E (eV/cell): -33.4
Space group: Pm-3m (221)
Total moment (μB per cell): 0.00

abc: 3.7287 3.7287 3.7287
angles: 90.00 90.00 90.00
Last column: nearest neighbours and their distance in Å.
Atoms (fractional coordinates):
1 Ta 0.0000 0.0000 0.0000  12 B 2.64
2 Ni 0.5000 0.5000 0.5000  6 B 1.86
3 B 0.0000 0.5000 0.5000  2 Ni 1.86
4 B 0.5000 0.0000 0.5000  2 Ni 1.86
5 B 0.5000 0.5000 0.0000  2 Ni 1.86

---

Ba2CaNiPt | PBE | relaxed

Results
Formation energy (eV per atom): 0.754
E (eV/cell): -13.9
Space group: P4/mmm (123)
Total moment (μB per cell): 0.01

abc: 6.5726 6.5726 4.8858
angles: 90.00 90.00 90.00
Last column: nearest neighbours and their distance in Å.
Atoms (fractional coordinates):
1 Ba 0.0000 0.5000 0.0000  2 Ca 3.29
2 Ba 0.5000 0.0000 0.0000  2 Ca 3.29
3 Ca 0.0000 0.0000 0.0000  2 Pt 2.44
4 Ni 0.5000 0.5000 0.5000  8 Ba 4.09
5 Pt 0.0000 0.0000 0.5000  2 Ca 2.44

---

LiCdSe2 | PBE | relaxed

Results
E (eV/cell): -11.5
Space group: Cmmm (65)
Total moment (μB per cell): 0.00
Formation energy (no corrections) (kJ per mole of atoms): -42

abc: 3.9599 3.9599 6.6349
angles: 90.00 90.00 115.93
Last column: nearest neighbours and their distance in Å.
Atoms (fractional coordinates):
1 Li 0.0000 0.0000 0.0000  4 Se 2.62
2 Cd 0.0000 0.0000 0.5000  4 Se 2.74
3 Se 0.5000 0.5000 0.2354  2 Li 2.62, 2 Cd 2.74
4 Se 0.5000 0.5000 0.7646  2 Li 2.62, 2 Cd 2.74

---

TbCe2Ir | PBE | relaxed

Results
Formation energy (eV per atom): -0.433
E (eV/cell): -54.2
Space group: Cmcm (63)
Energy above the most stable polymorph in this dataset (eV per atom): 0.000
Total moment (μB per cell): 1.81

abc: 5.9619 5.9619 9.8299
angles: 90.00 90.00 143.08
Last column: nearest neighbours and their distance in Å.
Atoms (fractional coordinates):
1 Tb 0.0804 0.9196 0.7500  3 Ir 3.06-3.25
2 Tb 0.9196 0.0804 0.2500  3 Ir 3.06-3.25
3 Ce 0.3612 0.6388 0.5571  2 Ir 2.79
4 Ce 0.3612 0.6388 0.9429  2 Ir 2.79
5 Ce 0.6388 0.3612 0.0571  2 Ir 2.79
6 Ce 0.6388 0.3612 0.4429  2 Ir 2.79
7 Ir 0.2072 0.7928 0.2500  4 Ce 2.79, 2 Tb 3.06
8 Ir 0.7928 0.2072 0.7500  4 Ce 2.79, 2 Tb 3.06

---

FeCuTe3 | PBE | relaxed

Results
E (eV/cell): -16.2
Space group: Pm-3m (221)
Total moment (μB per cell): 0.21
Formation energy (no corrections) (kJ per mole of atoms): 112

abc: 5.0889 5.0889 5.0889
angles: 90.00 90.00 90.00
Last column: nearest neighbours and their distance in Å.
Atoms (fractional coordinates):
1 Fe 0.0000 0.0000 0.0000  12 Te 3.60
2 Cu 0.5000 0.5000 0.5000  6 Te 2.54
3 Te 0.0000 0.5000 0.5000  2 Cu 2.54
4 Te 0.5000 0.0000 0.5000  2 Cu 2.54
5 Te 0.5000 0.5000 0.0000  2 Cu 2.54

---

PmPr2P | PBE | relaxed

Results
Formation energy (eV per atom): -0.632
E (eV/cell): -22.2
Space group: R-3m (166)
Total moment (μB per cell): 0.00

abc: 9.9216 9.9216 9.9216
angles: 23.00 23.00 23.00
Last column: nearest neighbours and their distance in Å.
Atoms (fractional coordinates):
1 Pm 0.0000 0.0000 0.0000  6 Pr 3.85, 6 Pm 3.96
2 Pr 0.2263 0.2263 0.2263  3 P 2.86
3 Pr 0.7737 0.7737 0.7737  3 P 2.86
4 P 0.5000 0.5000 0.5000  6 Pr 2.86

---

Q: What is the formula in the twelfth record?
A: PmPr2P

---

Please write out number 8 again, unchanged.
Ba2CaNiPt | PBE | relaxed

Results
Formation energy (eV per atom): 0.754
E (eV/cell): -13.9
Space group: P4/mmm (123)
Total moment (μB per cell): 0.01

abc: 6.5726 6.5726 4.8858
angles: 90.00 90.00 90.00
Last column: nearest neighbours and their distance in Å.
Atoms (fractional coordinates):
1 Ba 0.0000 0.5000 0.0000  2 Ca 3.29
2 Ba 0.5000 0.0000 0.0000  2 Ca 3.29
3 Ca 0.0000 0.0000 0.0000  2 Pt 2.44
4 Ni 0.5000 0.5000 0.5000  8 Ba 4.09
5 Pt 0.0000 0.0000 0.5000  2 Ca 2.44

---

What did the ninth record say?
LiCdSe2 | PBE | relaxed

Results
E (eV/cell): -11.5
Space group: Cmmm (65)
Total moment (μB per cell): 0.00
Formation energy (no corrections) (kJ per mole of atoms): -42

abc: 3.9599 3.9599 6.6349
angles: 90.00 90.00 115.93
Last column: nearest neighbours and their distance in Å.
Atoms (fractional coordinates):
1 Li 0.0000 0.0000 0.0000  4 Se 2.62
2 Cd 0.0000 0.0000 0.5000  4 Se 2.74
3 Se 0.5000 0.5000 0.2354  2 Li 2.62, 2 Cd 2.74
4 Se 0.5000 0.5000 0.7646  2 Li 2.62, 2 Cd 2.74

---

Q: The highest total moment belongs to which entry?
A: TbCe2Ir